# 1
A relaxed structure of RbUIrS4, computed with GGA-PBE.

- Uncorrected formation energy: -0.901 eV/atom
- Total energy: -87.86 eV for the cell shown
- Magnetization: 1.77 μB/cell

Geometry as CIF:
```
data_RbUIrS4
_chemical_formula_sum 'Rb2 U2 Ir2 S8'
_cell_length_a 6.520
_cell_length_b 6.041
_cell_length_c 9.002
_cell_angle_alpha 90.00
_cell_angle_beta 103.91
_cell_angle_gamma 90.00
_space_group_name_H-M_alt 'P 1 21/m 1'
_space_group_IT_number 11
loop_
_space_group_symop_operation_xyz
'x,y,z'
'-x,-y,-z'
'-x,y+1/2,-z'
'x,-y+1/2,z'
loop_
_atom_site_label
_atom_site_type_symbol
_atom_site_fract_x
_atom_site_fract_y
_atom_site_fract_z
Rb1 Rb 0.241 0.250 0.038
U1 U 0.246 0.250 0.540
Ir1 Ir 0.244 0.750 0.389
S1 S 0.018 0.506 0.696
S2 S 0.452 0.750 0.212
S3 S 0.469 0.750 0.619
```



# 2
A relaxed structure of Li2LaCl, computed with GGA-PBE.

- Uncorrected formation energy: 0.001 eV/atom
- Total energy: -42.39 eV for the cell shown
- Magnetization: 0.00 μB/cell

Geometry as CIF:
```
data_Li2LaCl
_chemical_formula_sum 'Li8 La4 Cl4'
_cell_length_a 7.369
_cell_length_b 7.369
_cell_length_c 7.369
_cell_angle_alpha 90.00
_cell_angle_beta 90.00
_cell_angle_gamma 90.00
_space_group_name_H-M_alt 'F m -3 m'
_space_group_IT_number 225
_space_group_name_Hall '-F 4 2 3'
loop_
_atom_site_label
_atom_site_type_symbol
_atom_site_fract_x
_atom_site_fract_y
_atom_site_fract_z
Li1 Li 0.250 0.250 0.250
La1 La 0.000 0.000 0.000
Cl1 Cl 0.000 0.000 0.500
```



# 3
A relaxed structure of Sr2BeAg, computed with GGA-PBE.

- Total energy: -26.19 eV for the cell shown
- Magnetization: 0.01 μB/cell

Geometry as CIF:
```
data_Sr2BeAg
_chemical_formula_sum 'Sr6 Be3 Ag3'
_cell_length_a 4.4424
_cell_length_b 4.4424
_cell_length_c 23.6884
_cell_angle_alpha 90.00
_cell_angle_beta 90.00
_cell_angle_gamma 120.00
_space_group_name_H-M_alt 'R -3 m'
_space_group_IT_number 166
_space_group_name_Hall '-R 3 2"'
loop_
_atom_site_label
_atom_site_type_symbol
_atom_site_fract_x
_atom_site_fract_y
_atom_site_fract_z
Sr1 Sr 0.0000 0.0000 0.2472
Be1 Be 0.0000 0.0000 0.5000
Ag1 Ag 0.0000 0.0000 0.0000
```



# 4
A relaxed structure of KPmAu, computed with GGA-PBE.

- Total energy: -20.28 eV for the cell shown
- Magnetization: 0.00 μB/cell

Geometry as CIF:
```
data_KPmAu
_chemical_formula_sum 'K2 Pm2 Au2'
_cell_length_a 5.191
_cell_length_b 5.191
_cell_length_c 8.281
_cell_angle_alpha 90.00
_cell_angle_beta 90.00
_cell_angle_gamma 90.00
_space_group_name_H-M_alt 'P 4/n m m'
_space_group_IT_number 129
loop_
_space_group_symop_operation_xyz
'x,y,z'
'-x,-y,-z'
'-y+1/2,x,z'
'y+1/2,-x,-z'
'-x+1/2,-y+1/2,z'
'x+1/2,y+1/2,-z'
'y,-x+1/2,z'
'-y,x+1/2,-z'
'x+1/2,-y,-z'
'-x+1/2,y,z'
'-y,-x,-z'
'y,x,z'
'-x,y+1/2,-z'
'x,-y+1/2,z'
'y+1/2,x+1/2,-z'
'-y+1/2,-x+1/2,z'
loop_
_atom_site_label
_atom_site_type_symbol
_atom_site_fract_x
_atom_site_fract_y
_atom_site_fract_z
K1 K 0.250 0.250 0.111
Pm1 Pm 0.250 0.750 0.500
Au1 Au 0.250 0.250 0.681
```



# 5
A relaxed structure of RbZrAl2Ru, computed with GGA-PBE.

- Total energy: -21.43 eV for the cell shown
- Magnetization: 0.00 μB/cell

Geometry as CIF:
```
data_RbZrAl2Ru
_chemical_formula_sum 'Rb1 Zr1 Al2 Ru1'
_cell_length_a 4.814
_cell_length_b 4.814
_cell_length_c 5.262
_cell_angle_alpha 90.00
_cell_angle_beta 90.00
_cell_angle_gamma 90.00
_space_group_name_H-M_alt 'P 4/m m m'
_space_group_IT_number 123
_space_group_name_Hall '-P 4 2'
loop_
_atom_site_label
_atom_site_type_symbol
_atom_site_fract_x
_atom_site_fract_y
_atom_site_fract_z
Rb1 Rb 0.000 0.000 0.000
Zr1 Zr 0.500 0.500 0.000
Al1 Al 0.000 0.500 0.500
Ru1 Ru 0.000 0.000 0.500
```



# 6
A relaxed structure of Sr2YCo, computed with GGA-PBE.

- Total energy: -32.07 eV for the cell shown
- Magnetization: 0.00 μB/cell

Geometry as CIF:
```
data_Sr2YCo
_chemical_formula_sum 'Sr4 Y2 Co2'
_cell_length_a 3.759
_cell_length_b 6.159
_cell_length_c 11.452
_cell_angle_alpha 90.00
_cell_angle_beta 90.00
_cell_angle_gamma 90.00
_space_group_name_H-M_alt 'I m m 2'
_space_group_IT_number 44
loop_
_space_group_symop_operation_xyz
'x,y,z'
'-x,-y,z'
'-x,y,z'
'x,-y,z'
'x+1/2,y+1/2,z+1/2'
'-x+1/2,-y+1/2,z+1/2'
'-x+1/2,y+1/2,z+1/2'
'x+1/2,-y+1/2,z+1/2'
loop_
_atom_site_label
_atom_site_type_symbol
_atom_site_fract_x
_atom_site_fract_y
_atom_site_fract_z
Sr1 Sr 0.000 0.000 0.000
Sr2 Sr 0.000 0.500 0.179
Y1 Y 0.000 0.500 0.823
Co1 Co 0.000 0.000 0.474
```



# 7
A relaxed structure of LiPuNpCl6, computed with GGA-PBE.

- Uncorrected formation energy: -1.466 eV/atom
- Total energy: -106.91 eV for the cell shown
- Magnetization: 19.64 μB/cell

Geometry as CIF:
```
data_LiPuNpCl6
_chemical_formula_sum 'Li2 Pu2 Np2 Cl12'
_cell_length_a 8.7313
_cell_length_b 8.7313
_cell_length_c 7.0464
_cell_angle_alpha 90.00
_cell_angle_beta 90.00
_cell_angle_gamma 120.00
_space_group_name_H-M_alt 'P -3 1 c'
_space_group_IT_number 163
_space_group_name_Hall '-P 3 2c'
loop_
_atom_site_label
_atom_site_type_symbol
_atom_site_fract_x
_atom_site_fract_y
_atom_site_fract_z
Li1 Li 0.3333 0.6667 0.2500
Pu1 Pu 0.0000 0.0000 0.0000
Np1 Np 0.3333 0.6667 0.7500
Cl1 Cl 0.1406 0.4079 0.0046
```



# 8
A relaxed structure of KLaZr2, computed with GGA-PBE.

- Total energy: -20.76 eV for the cell shown
- Magnetization: 0.00 μB/cell

Geometry as CIF:
```
data_KLaZr2
_chemical_formula_sum 'K1 La1 Zr2'
_cell_length_a 3.243
_cell_length_b 3.243
_cell_length_c 11.991
_cell_angle_alpha 90.00
_cell_angle_beta 90.00
_cell_angle_gamma 90.00
_space_group_name_H-M_alt 'P 4/m m m'
_space_group_IT_number 123
_space_group_name_Hall '-P 4 2'
loop_
_atom_site_label
_atom_site_type_symbol
_atom_site_fract_x
_atom_site_fract_y
_atom_site_fract_z
K1 K 0.000 0.000 0.000
La1 La 0.000 0.000 0.500
Zr1 Zr 0.500 0.500 0.288
```



# 9
A relaxed structure of LiLaLuMg, computed with GGA-PBE.

- Total energy: -51.22 eV for the cell shown
- Magnetization: 0.02 μB/cell

Geometry as CIF:
```
data_LiLaLuMg
_chemical_formula_sum 'Li4 La4 Lu4 Mg4'
_cell_length_a 7.646
_cell_length_b 7.646
_cell_length_c 7.646
_cell_angle_alpha 90.00
_cell_angle_beta 90.00
_cell_angle_gamma 90.00
_space_group_name_H-M_alt 'F -4 3 m'
_space_group_IT_number 216
_space_group_name_Hall 'F -4 2 3'
loop_
_atom_site_label
_atom_site_type_symbol
_atom_site_fract_x
_atom_site_fract_y
_atom_site_fract_z
Li1 Li 0.000 0.000 0.000
La1 La 0.250 0.250 0.750
Lu1 Lu 0.250 0.250 0.250
Mg1 Mg 0.000 0.000 0.500
```



# 10
A relaxed structure of Cs3MgAg2Br6, computed with GGA-PBE.

- Uncorrected formation energy: -1.105 eV/atom
- Total energy: -33.16 eV for the cell shown
- Magnetization: 0.00 μB/cell

Geometry as CIF:
```
data_Cs3MgAg2Br6
_chemical_formula_sum 'Cs3 Mg1 Ag2 Br6'
_cell_length_a 8.0845
_cell_length_b 8.0845
_cell_length_c 9.0024
_cell_angle_alpha 90.00
_cell_angle_beta 90.00
_cell_angle_gamma 120.00
_space_group_name_H-M_alt 'P -3 m 1'
_space_group_IT_number 164
_space_group_name_Hall '-P 3 2"'
loop_
_atom_site_label
_atom_site_type_symbol
_atom_site_fract_x
_atom_site_fract_y
_atom_site_fract_z
Cs1 Cs 0.0000 0.0000 0.0000
Cs2 Cs 0.3333 0.6667 0.6393
Mg1 Mg 0.0000 0.0000 0.5000
Ag1 Ag 0.3333 0.6667 0.1850
Br1 Br 0.1574 0.3149 0.3193
```



# 11
A relaxed structure of MnCrCuTeAu, computed with GGA-PBE.

- Uncorrected formation energy: 0.231 eV/atom
- Total energy: -84.46 eV for the cell shown
- Magnetization: 1.16 μB/cell

Geometry as CIF:
```
data_MnCrCuTeAu
_chemical_formula_sum 'Mn3 Cr3 Cu3 Te3 Au3'
_cell_length_a 4.1251
_cell_length_b 4.1251
_cell_length_c 18.5550
_cell_angle_alpha 90.00
_cell_angle_beta 90.00
_cell_angle_gamma 120.00
_space_group_name_H-M_alt 'R 3 m'
_space_group_IT_number 160
_space_group_name_Hall 'R 3 -2"'
loop_
_atom_site_label
_atom_site_type_symbol
_atom_site_fract_x
_atom_site_fract_y
_atom_site_fract_z
Mn1 Mn 0.0000 0.0000 0.0000
Cr1 Cr 0.0000 0.0000 0.3104
Cu1 Cu 0.0000 0.0000 0.5761
Te1 Te 0.0000 0.0000 0.7348
Au1 Au 0.0000 0.0000 0.1709
```



# 12
A relaxed structure of Nd2BiIr, computed with GGA-PBE.

- Total energy: -74.02 eV for the cell shown
- Magnetization: 0.00 μB/cell

Geometry as CIF:
```
data_Nd2BiIr
_chemical_formula_sum 'Nd6 Bi3 Ir3'
_cell_length_a 4.3489
_cell_length_b 4.3489
_cell_length_c 21.8157
_cell_angle_alpha 90.00
_cell_angle_beta 90.00
_cell_angle_gamma 120.00
_space_group_name_H-M_alt 'R -3 m'
_space_group_IT_number 166
_space_group_name_Hall '-R 3 2"'
loop_
_atom_site_label
_atom_site_type_symbol
_atom_site_fract_x
_atom_site_fract_y
_atom_site_fract_z
Nd1 Nd 0.0000 0.0000 0.2369
Bi1 Bi 0.0000 0.0000 0.0000
Ir1 Ir 0.0000 0.0000 0.5000
```



# 13
A relaxed structure of Ti2NbB6, computed with GGA-PBE.

- Total energy: -74.61 eV for the cell shown
- Magnetization: 0.00 μB/cell

Geometry as CIF:
```
data_Ti2NbB6
_chemical_formula_sum 'Ti2 Nb1 B6'
_cell_length_a 5.3153
_cell_length_b 5.3153
_cell_length_c 3.2506
_cell_angle_alpha 90.00
_cell_angle_beta 90.00
_cell_angle_gamma 120.00
_space_group_name_H-M_alt 'P 6/m m m'
_space_group_IT_number 191
_space_group_name_Hall '-P 6 2'
loop_
_atom_site_label
_atom_site_type_symbol
_atom_site_fract_x
_atom_site_fract_y
_atom_site_fract_z
Ti1 Ti 0.3333 0.6667 0.0000
Nb1 Nb 0.0000 0.0000 0.0000
B1 B 0.0000 0.3365 0.5000
```



# 14
A relaxed structure of Th8CoPb2, computed with GGA-PBE.

- Total energy: -149.07 eV for the cell shown
- Magnetization: 0.00 μB/cell

Geometry as CIF:
```
data_Th8CoPb2
_chemical_formula_sum 'Th16 Co2 Pb4'
_cell_length_a 18.398
_cell_length_b 5.596
_cell_length_c 6.771
_cell_angle_alpha 90.00
_cell_angle_beta 109.24
_cell_angle_gamma 90.00
_space_group_name_H-M_alt 'C 1 2/m 1'
_space_group_IT_number 12
loop_
_space_group_symop_operation_xyz
'x,y,z'
'-x,-y,-z'
'-x,y,-z'
'x,-y,z'
'x+1/2,y+1/2,z'
'-x+1/2,-y+1/2,-z'
'-x+1/2,y+1/2,-z'
'x+1/2,-y+1/2,z'
loop_
_atom_site_label
_atom_site_type_symbol
_atom_site_fract_x
_atom_site_fract_y
_atom_site_fract_z
Th1 Th 0.001 0.000 0.235
Th2 Th 0.084 0.500 0.739
Th3 Th 0.134 0.500 0.291
Th4 Th 0.222 0.000 0.127
Co1 Co 0.000 0.500 0.000
Pb1 Pb 0.173 0.000 0.608
```



# 15
A relaxed structure of Li2TbDyTl4, computed with GGA-PBE.

- Total energy: -75.25 eV for the cell shown
- Magnetization: 0.00 μB/cell

Geometry as CIF:
```
data_Li2TbDyTl4
_chemical_formula_sum 'Li6 Tb3 Dy3 Tl12'
_cell_length_a 5.1960
_cell_length_b 5.1960
_cell_length_c 25.3520
_cell_angle_alpha 90.00
_cell_angle_beta 90.00
_cell_angle_gamma 120.00
_space_group_name_H-M_alt 'R -3 m'
_space_group_IT_number 166
_space_group_name_Hall '-R 3 2"'
loop_
_atom_site_label
_atom_site_type_symbol
_atom_site_fract_x
_atom_site_fract_y
_atom_site_fract_z
Li1 Li 0.0000 0.0000 0.2499
Tb1 Tb 0.0000 0.0000 0.0000
Dy1 Dy 0.0000 0.0000 0.5000
Tl1 Tl 0.0000 0.0000 0.1253
Tl2 Tl 0.0000 0.0000 0.3752
```